Zr2TaNiSb: optimized geometry, PBE-GGA.

Lattice parameters (Å, degrees): 5.2662 4.4210 5.2662 90.00 90.00 90.00
Positions (direct):
Sb  0.0000  0.0000  0.0000
Ni  0.0000  0.5000  0.0000
Zr  0.0000  0.0000  0.5000
Zr  0.5000  0.0000  0.0000
Ta  0.5000  0.5000  0.5000

Properties
raw total energy: -33.8 eV per formula unit
uncorrected formation energy: 1.01 eV per atom
density of states at the Fermi level: 7.14 states/eV/f.u.
symmetry: No. 123